No. 1
Here is Pr4ErMg after structural relaxation from Alexandria via LeMat-Bulk. Energies are from PBE.

```
data_Pr4ErMg
_chemical_formula_sum 'Pr8 Er2 Mg2'
_cell_length_a 9.0125
_cell_length_b 6.6178
_cell_length_c 8.5938
_cell_angle_alpha 109.09
_cell_angle_beta 118.81
_cell_angle_gamma 96.34
_symmetry_space_group_name_H-M 'P 1'
_symmetry_Int_Tables_number 1
_symmetry_space_group_name_Hall 'P 1'
loop_
_atom_site_label
_atom_site_fract_x
_atom_site_fract_y
_atom_site_fract_z
_atom_site_occupancy
Pr1 0.6326 0.3564 0.1067 1
Pr2 0.1008 0.3686 0.3696 1
Pr3 0.7689 0.0010 0.3696 1
Pr4 0.3674 0.6436 0.8933 1
Pr5 0.8992 0.6314 0.6304 1
Mg1 0.5931 0.3431 0.6863 1
Mg2 0.4069 0.6569 0.3137 1
Er1 0.3531 0.1031 0.2062 1
Pr6 0.0259 0.2496 0.8933 1
Er2 0.6469 0.8969 0.7938 1
Pr7 0.9741 0.7504 0.1067 1
Pr8 0.2311 0.9990 0.6304 1
```

Calculated values
Fermi-level density of states, states/eV per atom: 1.480
Space-group type: C2/c
Relative energy among the computed polymorphs, kJ per mole of atoms: 7.9
ΔH_f (0 K), kcal/mol of atoms: 1.4
Volume, Å³ per cell: 401.6
Theoretical density, g cm⁻³: 6.25



No. 2
Here is Pr5ErMg6 after structural relaxation from Alexandria via LeMat-Bulk. Energies are from PBE.

```
data_Pr5ErMg6
_chemical_formula_sum 'Pr5 Er1 Mg6'
_cell_length_a 5.4914
_cell_length_b 7.7909
_cell_length_c 8.6901
_cell_angle_alpha 90.00
_cell_angle_beta 71.60
_cell_angle_gamma 89.99
_symmetry_space_group_name_H-M 'P 1'
_symmetry_Int_Tables_number 1
_symmetry_space_group_name_Hall 'P 1'
loop_
_atom_site_label
_atom_site_fract_x
_atom_site_fract_y
_atom_site_fract_z
_atom_site_occupancy
Pr1 0.3359 0.0000 0.3285 1
Pr2 0.0000 0.5000 0.0000 1
Mg1 0.1639 0.2446 0.6714 1
Mg2 0.1639 0.7554 0.6714 1
Mg3 0.8361 0.7554 0.3286 1
Mg4 0.5000 0.7541 0.0000 1
Mg5 0.8361 0.2446 0.3286 1
Pr3 0.6687 0.5000 0.6625 1
Mg6 0.5000 0.2459 0.0000 1
Pr4 0.3313 0.5000 0.3375 1
Er1 0.0000 0.0000 0.0000 1
Pr5 0.6641 0.0000 0.6715 1
```

Calculated values
Fermi-level density of states, states/eV per atom: 1.100
Space-group type: Cmmm
ΔH_f (0 K), kcal/mol of atoms: -2.5
Volume, Å³ per cell: 352.8
Theoretical density, g cm⁻³: 4.79



No. 3
Here is Pr4ErMg2 after structural relaxation from Alexandria via LeMat-Bulk. Energies are from PBE.

```
data_Pr4ErMg2
_chemical_formula_sum 'Pr4 Er1 Mg2'
_cell_length_a 5.6696
_cell_length_b 5.6696
_cell_length_c 9.5809
_cell_angle_alpha 72.79
_cell_angle_beta 72.79
_cell_angle_gamma 60.00
_symmetry_space_group_name_H-M 'P 1'
_symmetry_Int_Tables_number 1
_symmetry_space_group_name_Hall 'P 1'
loop_
_atom_site_label
_atom_site_fract_x
_atom_site_fract_y
_atom_site_fract_z
_atom_site_occupancy
Pr1 0.7586 0.7586 0.7243 1
Pr2 0.2414 0.2414 0.2757 1
Pr3 0.6303 0.6303 0.1090 1
Pr4 0.3697 0.3697 0.8910 1
Er1 0.0000 0.0000 0.0000 1
Mg1 0.8804 0.8804 0.3587 1
Mg2 0.1196 0.1196 0.6413 1
```

Calculated values
Fermi-level density of states, states/eV per atom: 1.339
Space-group type: R-3m
Relative energy among the computed polymorphs, kJ per mole of atoms: 9.7
ΔH_f (0 K), kcal/mol of atoms: 5.7
Volume, Å³ per cell: 250.7
Theoretical density, g cm⁻³: 5.16



Going through the records in order, we get uncorrected energy values of -4.1517 -3.2756 -3.5904 eV per atom.